(1)
The following is a PBE calculation of a relaxed Mg3CuRh2 crystal, from the Alexandria database. Values from VASP.

Space group: P4/mmm
ΔH_f (0 K), eV/atom: -0.3873
Energy relative to the lowest polymorph listed for this composition, eV/atom: 0.029

Quantum ESPRESSO input file:
```
&SYSTEM
  ibrav = 0, nat = 6, ntyp = 3
/
ATOMIC_SPECIES
Mg 24.30 Mg.upf
Cu 63.55 Cu.upf
Rh 102.91 Rh.upf
ATOMIC_POSITIONS angstrom
Mg 0.000 0.000 0.000
Mg 0.000 0.000 2.965
Mg 0.000 0.000 6.106
Cu 1.593 1.593 4.536
Rh 1.593 1.593 1.569
Rh 1.593 1.593 7.503
CELL_PARAMETERS angstrom
3.187 0.000 0.000
0.000 3.187 0.000
0.000 0.000 9.072
```

***

(2)
The following is a PBE calculation of a relaxed MgCu2Rh crystal, from the Alexandria database. Values from VASP.

Space group: R-3m
ΔH_f (0 K), eV/atom: 0.0812

Quantum ESPRESSO input file:
```
&SYSTEM
  ibrav = 0, nat = 4, ntyp = 3
/
ATOMIC_SPECIES
Mg 24.30 Mg.upf
Cu 63.55 Cu.upf
Rh 102.91 Rh.upf
ATOMIC_POSITIONS angstrom
Mg 0.000 0.000 0.000
Cu 0.000 0.000 6.454
Cu 0.000 0.000 19.554
Rh 0.000 0.000 13.004
CELL_PARAMETERS angstrom
1.379 0.796 8.670
-1.379 0.796 8.670
0.000 -1.592 8.670
```

***

(3)
The following is a PBE calculation of a relaxed MgCuRh2 crystal, from the Alexandria database. Values from VASP.

Space group: I-42d
ΔH_f (0 K), eV/atom: 0.2371

Quantum ESPRESSO input file:
```
&SYSTEM
  ibrav = 0, nat = 8, ntyp = 3
/
ATOMIC_SPECIES
Mg 24.30 Mg.upf
Cu 63.55 Cu.upf
Rh 102.91 Rh.upf
ATOMIC_POSITIONS angstrom
Mg 0.000 0.000 0.000
Mg 0.000 3.503 1.293
Cu 3.503 0.000 1.293
Cu 0.000 0.000 2.585
Rh 1.752 1.952 -0.646
Rh 5.055 1.752 0.646
Rh 1.752 1.551 1.939
Rh -1.551 1.752 3.232
CELL_PARAMETERS angstrom
-3.503 3.503 2.585
3.503 -3.503 2.585
3.503 3.503 -2.585
```

***

(4)
The following is a PBE calculation of a relaxed MgCu2Rh crystal, from the Alexandria database. Values from VASP.

Space group: P2/m
ΔH_f (0 K), eV/atom: -0.0475

Quantum ESPRESSO input file:
```
&SYSTEM
  ibrav = 0, nat = 4, ntyp = 3
/
ATOMIC_SPECIES
Mg 24.30 Mg.upf
Cu 63.55 Cu.upf
Rh 102.91 Rh.upf
ATOMIC_POSITIONS angstrom
Mg 0.000 0.000 0.000
Cu 0.271 2.197 3.452
Cu 1.882 2.197 1.217
Rh 1.077 0.000 2.335
CELL_PARAMETERS angstrom
2.752 0.000 0.000
0.000 4.394 0.000
-0.599 0.000 4.670
```

***

(5)
The following is a PBE calculation of a relaxed MgCuRh crystal, from the Alexandria database. Values from VASP.

Space group: F-43m
ΔH_f (0 K), eV/atom: 0.0585
Energy relative to the lowest polymorph listed for this composition, eV/atom: 0.274

Quantum ESPRESSO input file:
```
&SYSTEM
  ibrav = 0, nat = 3, ntyp = 3
/
ATOMIC_SPECIES
Mg 24.30 Mg.upf
Cu 63.55 Cu.upf
Rh 102.91 Rh.upf
ATOMIC_POSITIONS angstrom
Mg 0.000 0.000 0.000
Cu 4.385 4.385 4.385
Rh 2.923 2.923 2.923
CELL_PARAMETERS angstrom
0.000 2.923 2.923
2.923 0.000 2.923
2.923 2.923 0.000
```

***

(6)
The following is a PBE calculation of a relaxed Mg2CuRh2 crystal, from the Alexandria database. Values from VASP.

Space group: I4/mmm
ΔH_f (0 K), eV/atom: 0.2255
Energy relative to the lowest polymorph listed for this composition, eV/atom: 0.457

Quantum ESPRESSO input file:
```
&SYSTEM
  ibrav = 0, nat = 5, ntyp = 3
/
ATOMIC_SPECIES
Mg 24.30 Mg.upf
Cu 63.55 Cu.upf
Rh 102.91 Rh.upf
ATOMIC_POSITIONS angstrom
Mg 2.477 0.000 1.865
Mg 0.000 2.477 1.865
Cu 0.000 0.000 0.000
Rh 0.000 0.000 2.515
Rh 0.000 0.000 4.946
CELL_PARAMETERS angstrom
-2.477 2.477 3.731
2.477 -2.477 3.731
2.477 2.477 -3.731
```

***

(7)
The following is a PBE calculation of a relaxed MgCu2Rh crystal, from the Alexandria database. Values from VASP.

Space group: P4mm
ΔH_f (0 K), eV/atom: -0.1485

Quantum ESPRESSO input file:
```
&SYSTEM
  ibrav = 0, nat = 4, ntyp = 3
/
ATOMIC_SPECIES
Mg 24.30 Mg.upf
Cu 63.55 Cu.upf
Rh 102.91 Rh.upf
ATOMIC_POSITIONS angstrom
Mg 0.000 0.000 0.000
Cu 0.000 0.000 2.887
Cu 1.562 1.562 4.115
Rh 1.562 1.562 1.460
CELL_PARAMETERS angstrom
3.124 0.000 0.000
0.000 3.124 0.000
0.000 0.000 5.690
```

***

(8)
The following is a PBE calculation of a relaxed Mg5CuRh crystal, from the Alexandria database. Values from VASP.

Space group: Cmcm
ΔH_f (0 K), eV/atom: -0.1589

Quantum ESPRESSO input file:
```
&SYSTEM
  ibrav = 0, nat = 14, ntyp = 3
/
ATOMIC_SPECIES
Mg 24.30 Mg.upf
Cu 63.55 Cu.upf
Rh 102.91 Rh.upf
ATOMIC_POSITIONS angstrom
Mg 3.632 2.979 8.855
Mg 2.093 1.087 7.202
Mg 2.093 1.087 10.509
Mg 2.093 -1.087 1.298
Mg 2.093 -1.087 4.605
Mg 5.171 1.087 7.202
Mg 5.171 1.087 10.509
Mg 5.171 -1.087 1.298
Mg 5.171 -1.087 4.605
Mg 3.632 -2.979 2.952
Cu 3.632 0.545 2.952
Cu 3.632 -0.545 8.855
Rh 0.000 0.000 0.000
Rh 0.000 0.000 5.904
CELL_PARAMETERS angstrom
3.632 -3.097 0.000
3.632 3.097 0.000
0.000 0.000 11.807
```

***

(9)
The following is a PBE calculation of a relaxed MgCuRh crystal, from the Alexandria database. Values from VASP.

Space group: Pmmm
ΔH_f (0 K), eV/atom: -0.0242
Energy relative to the lowest polymorph listed for this composition, eV/atom: 0.192

Quantum ESPRESSO input file:
```
&SYSTEM
  ibrav = 0, nat = 3, ntyp = 3
/
ATOMIC_SPECIES
Mg 24.30 Mg.upf
Cu 63.55 Cu.upf
Rh 102.91 Rh.upf
ATOMIC_POSITIONS angstrom
Mg 0.000 0.000 0.000
Cu 0.000 2.084 2.190
Rh 1.451 0.000 2.190
CELL_PARAMETERS angstrom
2.901 0.000 0.000
0.000 4.167 0.000
0.000 0.000 4.379
```

***

(10)
The following is a PBE calculation of a relaxed MgCuRh2 crystal, from the Alexandria database. Values from VASP.

Space group: Pmmm
ΔH_f (0 K), eV/atom: -0.1382

Quantum ESPRESSO input file:
```
&SYSTEM
  ibrav = 0, nat = 4, ntyp = 3
/
ATOMIC_SPECIES
Mg 24.30 Mg.upf
Cu 63.55 Cu.upf
Rh 102.91 Rh.upf
ATOMIC_POSITIONS angstrom
Mg 0.000 0.000 0.000
Cu 1.446 0.000 2.288
Rh 0.000 2.175 2.288
Rh 1.446 2.175 0.000
CELL_PARAMETERS angstrom
2.892 0.000 0.000
0.000 4.349 0.000
0.000 0.000 4.576
```

***

(11)
The following is a PBE calculation of a relaxed MgCu2Rh crystal, from the Alexandria database. Values from VASP.

Space group: P4/mmm
ΔH_f (0 K), eV/atom: -0.2116

Quantum ESPRESSO input file:
```
&SYSTEM
  ibrav = 0, nat = 4, ntyp = 3
/
ATOMIC_SPECIES
Mg 24.30 Mg.upf
Cu 63.55 Cu.upf
Rh 102.91 Rh.upf
ATOMIC_POSITIONS angstrom
Mg 0.000 0.000 0.000
Cu 0.000 1.880 1.940
Cu 1.880 0.000 1.940
Rh 1.880 1.880 0.000
CELL_PARAMETERS angstrom
3.761 0.000 0.000
0.000 3.761 0.000
0.000 0.000 3.880
```

***

(12)
The following is a PBE calculation of a relaxed MgCuRh2 crystal, from the Alexandria database. Values from VASP.

Space group: Imm2
ΔH_f (0 K), eV/atom: -0.1320

Quantum ESPRESSO input file:
```
&SYSTEM
  ibrav = 0, nat = 4, ntyp = 3
/
ATOMIC_SPECIES
Mg 24.30 Mg.upf
Cu 63.55 Cu.upf
Rh 102.91 Rh.upf
ATOMIC_POSITIONS angstrom
Mg 0.000 0.000 0.000
Cu 0.000 2.182 2.207
Rh 1.477 0.000 2.307
Rh 0.000 0.000 4.492
CELL_PARAMETERS angstrom
-1.477 2.182 4.453
1.477 -2.182 4.453
1.477 2.182 -4.453
```

***

(13)
The following is a PBE calculation of a relaxed Mg3CuRh2 crystal, from the Alexandria database. Values from VASP.

Space group: Cmmm
ΔH_f (0 K), eV/atom: -0.4159
Energy relative to the lowest polymorph listed for this composition, eV/atom: 0.000

Quantum ESPRESSO input file:
```
&SYSTEM
  ibrav = 0, nat = 6, ntyp = 3
/
ATOMIC_SPECIES
Mg 24.30 Mg.upf
Cu 63.55 Cu.upf
Rh 102.91 Rh.upf
ATOMIC_POSITIONS angstrom
Mg 0.000 0.000 0.000
Mg 2.171 2.252 0.000
Mg 2.171 -2.252 0.000
Cu 2.171 0.000 1.611
Rh 2.171 4.452 1.611
Rh 2.171 -4.452 1.611
CELL_PARAMETERS angstrom
2.171 -6.543 0.000
2.171 6.543 0.000
0.000 0.000 3.222
```

***

(14)
The following is a PBE calculation of a relaxed MgCuRh4 crystal, from the Alexandria database. Values from VASP.

Space group: F-43m
ΔH_f (0 K), eV/atom: 0.1216

Quantum ESPRESSO input file:
```
&SYSTEM
  ibrav = 0, nat = 6, ntyp = 3
/
ATOMIC_SPECIES
Mg 24.30 Mg.upf
Cu 63.55 Cu.upf
Rh 102.91 Rh.upf
ATOMIC_POSITIONS angstrom
Mg 0.000 0.000 0.000
Cu 1.812 1.812 1.812
Rh 4.530 2.720 2.720
Rh 2.720 4.530 2.720
Rh 2.720 2.720 4.530
Rh 4.530 4.530 4.530
CELL_PARAMETERS angstrom
0.000 3.625 3.625
3.625 0.000 3.625
3.625 3.625 0.000
```

***

(15)
The following is a PBE calculation of a relaxed MgCuRh2 crystal, from the Alexandria database. Values from VASP.

Space group: Cmmm
ΔH_f (0 K), eV/atom: -0.0318

Quantum ESPRESSO input file:
```
&SYSTEM
  ibrav = 0, nat = 4, ntyp = 3
/
ATOMIC_SPECIES
Mg 24.30 Mg.upf
Cu 63.55 Cu.upf
Rh 102.91 Rh.upf
ATOMIC_POSITIONS angstrom
Mg 0.000 0.000 0.000
Cu 0.000 0.000 4.267
Rh 1.480 0.000 2.162
Rh 1.480 0.000 6.372
CELL_PARAMETERS angstrom
1.480 -2.293 0.000
1.480 2.293 0.000
0.000 0.000 8.534
```

***

(16)
The following is a PBE calculation of a relaxed MgCu2Rh crystal, from the Alexandria database. Values from VASP.

Space group: I4/mmm
ΔH_f (0 K), eV/atom: -0.1553

Quantum ESPRESSO input file:
```
&SYSTEM
  ibrav = 0, nat = 4, ntyp = 3
/
ATOMIC_SPECIES
Mg 24.30 Mg.upf
Cu 63.55 Cu.upf
Rh 102.91 Rh.upf
ATOMIC_POSITIONS angstrom
Mg 0.000 0.000 0.000
Cu 1.940 0.000 1.843
Cu 0.000 1.940 1.843
Rh 0.000 0.000 3.686
CELL_PARAMETERS angstrom
-1.940 1.940 3.686
1.940 -1.940 3.686
1.940 1.940 -3.686
```

***

(17)
The following is a PBE calculation of a relaxed Mg3CuRh4 crystal, from the Alexandria database. Values from VASP.

Space group: Pmmm
ΔH_f (0 K), eV/atom: -0.3173

Quantum ESPRESSO input file:
```
&SYSTEM
  ibrav = 0, nat = 8, ntyp = 3
/
ATOMIC_SPECIES
Mg 24.30 Mg.upf
Cu 63.55 Cu.upf
Rh 102.91 Rh.upf
ATOMIC_POSITIONS angstrom
Mg 0.000 0.000 0.000
Mg 0.000 2.166 2.194
Mg 0.000 2.166 6.505
Cu 0.000 0.000 4.349
Rh 1.556 0.000 2.262
Rh 1.556 0.000 6.437
Rh 1.556 2.166 0.000
Rh 1.556 2.166 4.349
CELL_PARAMETERS angstrom
3.112 0.000 0.000
0.000 4.331 0.000
0.000 0.000 8.699
```

***

(18)
The following is a PBE calculation of a relaxed Mg2Cu2Rh crystal, from the Alexandria database. Values from VASP.

Space group: P4/mbm
ΔH_f (0 K), eV/atom: 0.0634
Energy relative to the lowest polymorph listed for this composition, eV/atom: 0.271

Quantum ESPRESSO input file:
```
&SYSTEM
  ibrav = 0, nat = 10, ntyp = 3
/
ATOMIC_SPECIES
Mg 24.30 Mg.upf
Cu 63.55 Cu.upf
Rh 102.91 Rh.upf
ATOMIC_POSITIONS angstrom
Mg 1.103 2.452 0.000
Mg 2.452 6.008 0.000
Mg 4.659 1.103 0.000
Mg 6.008 4.659 0.000
Cu 1.019 4.575 1.493
Cu 2.536 1.019 1.493
Cu 4.575 6.092 1.493
Cu 6.092 2.536 1.493
Rh 0.000 0.000 0.000
Rh 3.555 3.555 0.000
CELL_PARAMETERS angstrom
7.111 0.000 0.000
0.000 7.111 0.000
0.000 0.000 2.986
```

***

(19)
The following is a PBE calculation of a relaxed MgCu2Rh crystal, from the Alexandria database. Values from VASP.

Space group: I-4m2
ΔH_f (0 K), eV/atom: -0.1787

Quantum ESPRESSO input file:
```
&SYSTEM
  ibrav = 0, nat = 4, ntyp = 3
/
ATOMIC_SPECIES
Mg 24.30 Mg.upf
Cu 63.55 Cu.upf
Rh 102.91 Rh.upf
ATOMIC_POSITIONS angstrom
Mg 0.000 0.000 0.000
Cu 0.000 0.000 3.616
Cu 0.000 1.952 1.808
Rh 1.952 0.000 1.808
CELL_PARAMETERS angstrom
-1.952 1.952 3.616
1.952 -1.952 3.616
1.952 1.952 -3.616
```

***

(20)
The following is a PBE calculation of a relaxed Mg4Cu2Rh crystal, from the Alexandria database. Values from VASP.

Space group: Cmcm
ΔH_f (0 K), eV/atom: -0.1613

Quantum ESPRESSO input file:
```
&SYSTEM
  ibrav = 0, nat = 14, ntyp = 3
/
ATOMIC_SPECIES
Mg 24.30 Mg.upf
Cu 63.55 Cu.upf
Rh 102.91 Rh.upf
ATOMIC_POSITIONS angstrom
Mg 0.000 0.000 0.000
Mg 0.000 0.000 6.651
Mg 2.245 1.300 8.524
Mg 2.245 1.300 11.428
Mg 2.245 1.292 3.325
Mg 2.245 -1.292 9.976
Mg 2.245 -1.300 1.874
Mg 2.245 -1.300 4.777
Cu 2.245 1.294 0.705
Cu 2.245 1.294 5.945
Cu 2.245 -1.294 7.356
Cu 2.245 -1.294 12.596
Rh 2.245 3.884 3.325
Rh 2.245 -3.884 9.976
CELL_PARAMETERS angstrom
2.245 -3.888 0.000
2.245 3.888 0.000
0.000 0.000 13.301
```

***

(21)
The following is a PBE calculation of a relaxed MgCuRh crystal, from the Alexandria database. Values from VASP.

Space group: Cmcm
ΔH_f (0 K), eV/atom: -0.2159
Energy relative to the lowest polymorph listed for this composition, eV/atom: 0.000

Quantum ESPRESSO input file:
```
&SYSTEM
  ibrav = 0, nat = 6, ntyp = 3
/
ATOMIC_SPECIES
Mg 24.30 Mg.upf
Cu 63.55 Cu.upf
Rh 102.91 Rh.upf
ATOMIC_POSITIONS angstrom
Mg 2.191 2.546 3.868
Mg 2.191 -2.546 1.289
Cu 2.191 0.000 0.000
Cu 2.191 0.000 2.579
Rh 2.191 2.547 1.289
Rh 2.191 -2.547 3.868
CELL_PARAMETERS angstrom
2.191 -3.816 0.000
2.191 3.816 0.000
0.000 0.000 5.158
```

***

(22)
The following is a PBE calculation of a relaxed Mg5CuRh6 crystal, from the Alexandria database. Values from VASP.

Space group: Immm
ΔH_f (0 K), eV/atom: -0.3656

Quantum ESPRESSO input file:
```
&SYSTEM
  ibrav = 0, nat = 12, ntyp = 3
/
ATOMIC_SPECIES
Mg 24.30 Mg.upf
Cu 63.55 Cu.upf
Rh 102.91 Rh.upf
ATOMIC_POSITIONS angstrom
Mg 0.000 0.000 0.000
Mg 2.188 0.000 2.183
Mg 0.000 0.000 4.348
Mg 0.000 0.000 8.779
Mg 0.000 3.106 4.380
Cu 0.000 3.106 0.000
Rh 2.188 -1.522 4.427
Rh 2.188 1.616 0.000
Rh 0.000 1.583 2.137
Rh 2.188 1.522 4.427
Rh 0.000 1.489 6.564
Rh 0.000 4.628 2.137
CELL_PARAMETERS angstrom
-2.188 3.106 6.564
2.188 -3.106 6.564
2.188 3.106 -6.564
```

***

(23)
The following is a PBE calculation of a relaxed MgCu2Rh crystal, from the Alexandria database. Values from VASP.

Space group: F-43m
ΔH_f (0 K), eV/atom: -0.1628

Quantum ESPRESSO input file:
```
&SYSTEM
  ibrav = 0, nat = 4, ntyp = 3
/
ATOMIC_SPECIES
Mg 24.30 Mg.upf
Cu 63.55 Cu.upf
Rh 102.91 Rh.upf
ATOMIC_POSITIONS angstrom
Mg 0.000 0.000 0.000
Cu 3.017 3.017 3.017
Cu 4.526 4.526 4.526
Rh 1.509 1.509 1.509
CELL_PARAMETERS angstrom
0.000 3.017 3.017
3.017 0.000 3.017
3.017 3.017 0.000
```

***

(24)
The following is a PBE calculation of a relaxed MgCuRh2 crystal, from the Alexandria database. Values from VASP.

Space group: C2/m
ΔH_f (0 K), eV/atom: -0.1090

Quantum ESPRESSO input file:
```
&SYSTEM
  ibrav = 0, nat = 4, ntyp = 3
/
ATOMIC_SPECIES
Mg 24.30 Mg.upf
Cu 63.55 Cu.upf
Rh 102.91 Rh.upf
ATOMIC_POSITIONS angstrom
Mg 0.000 0.000 0.000
Cu 2.689 0.000 0.000
Rh 0.729 2.180 1.230
Rh 0.729 -2.180 1.230
CELL_PARAMETERS angstrom
2.689 -4.359 0.000
2.689 4.359 0.000
-1.231 0.000 2.461
```

***

(25)
The following is a PBE calculation of a relaxed MgCuRh2 crystal, from the Alexandria database. Values from VASP.

Space group: Cm
ΔH_f (0 K), eV/atom: -0.1719

Quantum ESPRESSO input file:
```
&SYSTEM
  ibrav = 0, nat = 4, ntyp = 3
/
ATOMIC_SPECIES
Mg 24.30 Mg.upf
Cu 63.55 Cu.upf
Rh 102.91 Rh.upf
ATOMIC_POSITIONS angstrom
Mg 0.000 0.000 0.000
Cu 1.487 0.000 3.403
Rh 4.067 0.000 2.223
Rh 6.623 0.000 1.252
CELL_PARAMETERS angstrom
4.561 -1.418 0.000
4.561 1.418 0.000
-0.970 0.000 4.441
```

***

(26)
The following is a PBE calculation of a relaxed MgCuRhS2 crystal, from the Alexandria database. Values from VASP.

Space group: P4/mmm
Formation energy from raw total energies, eV per atom: 0.169

Quantum ESPRESSO input file:
```
&SYSTEM
  ibrav = 0, nat = 5, ntyp = 4
/
ATOMIC_SPECIES
Mg 24.30 Mg.upf
Cu 63.55 Cu.upf
Rh 102.91 Rh.upf
S 32.06 S.upf
ATOMIC_POSITIONS angstrom
Mg 0.000 0.000 0.000
Cu 2.318 2.318 0.000
Rh 2.318 2.318 2.310
S 0.000 2.318 2.310
S 2.318 0.000 2.310
CELL_PARAMETERS angstrom
4.637 0.000 0.000
0.000 4.637 0.000
0.000 0.000 4.620
```

***

(27)
The following is a PBE calculation of a relaxed MgCuSbRh crystal, from the Alexandria database. Values from VASP.

Space group: F-43m
Formation energy from raw total energies, eV per atom: -0.264

Quantum ESPRESSO input file:
```
&SYSTEM
  ibrav = 0, nat = 4, ntyp = 4
/
ATOMIC_SPECIES
Mg 24.30 Mg.upf
Cu 63.55 Cu.upf
Sb 121.76 Sb.upf
Rh 102.91 Rh.upf
ATOMIC_POSITIONS angstrom
Mg 0.000 0.000 0.000
Cu 4.806 4.806 4.806
Sb 3.204 3.204 3.204
Rh 1.602 1.602 1.602
CELL_PARAMETERS angstrom
0.000 3.204 3.204
3.204 0.000 3.204
3.204 3.204 0.000
```